# CePm2TlO PBE optimized geometry
# **ΔE_f (raw)**: -1307 meV/atom
data_CePm2TlO
_chemical_formula_sum 'Ce1 Pm2 Tl1 O1'
_symmetry_space_group_name_H-M 'P 4/m m m'
_symmetry_Int_Tables_number 123
_symmetry_space_group_name_Hall '-P 4 2'
_cell_length_a 4.979
_cell_length_b 4.979
_cell_length_c 4.871
_cell_angle_alpha 90.00
_cell_angle_beta 90.00
_cell_angle_gamma 90.00
loop_
_atom_site_label
_atom_site_fract_x
_atom_site_fract_y
_atom_site_fract_z
Ce1 0.000 0.000 0.000
Pm1 0.000 0.500 0.500
Tl1 0.500 0.500 0.000
O1 0.000 0.000 0.500